Entry 1:
## Y9Ho4Pu (PBE)

Data for a relaxed structure of Y9Ho4Pu.

Results
Symmetry = P6_3/mmc
Size of the total moment = 10.56 Bohr magnetons per cell
Energy of formation from the pure elements = 0.17 eV per atom

Lattice parameters (Å, degrees): 11.015 9.745 9.745 120.00 90.00 90.00
Each line ends with the local moment (μB).
Sites, in units of the cell vectors:
Pu 0.750 0.333 0.667  5.68
Y 0.034 0.791 0.209  0.01
Ho 0.750 0.888 0.112  -0.07
Y 0.750 0.537 0.074  -0.01
Y 0.750 0.537 0.463  -0.01
Y 0.250 0.463 0.926  -0.01
Y 0.250 0.074 0.537  -0.01
Y 0.466 0.791 0.581  0.01
Y 0.034 0.419 0.209  0.01
Y 0.466 0.791 0.209  0.01
Ho 0.250 0.112 0.888  -0.07
Y 0.534 0.209 0.791  0.01
Ho 0.250 0.112 0.224  -0.07
Y 0.250 0.463 0.537  -0.01
Ho 0.250 0.776 0.888  -0.07
Ho 0.000 0.000 0.000  -0.10
Y 0.534 0.581 0.791  0.01
Y 0.966 0.209 0.791  0.01
Pu 0.250 0.667 0.333  5.68
Y 0.966 0.209 0.419  0.01
Y 0.034 0.791 0.581  0.01
Y 0.750 0.926 0.463  -0.01
Y 0.534 0.209 0.419  0.01
Y 0.966 0.581 0.791  0.01
Y 0.466 0.419 0.209  0.01
Ho 0.750 0.224 0.112  -0.07
Ho 0.750 0.888 0.776  -0.07
Ho 0.500 0.000 0.000  -0.10

Entry 2:
## HoSnRuPt (PBE)

Data for a relaxed structure of HoSnRuPt.

Results
Symmetry = F-43m
Size of the total moment = 0.02 Bohr magnetons per cell
Energy of formation from the pure elements = -0.59 eV per atom

Lattice parameters (Å, degrees): 4.726 4.726 4.726 60.00 60.00 60.00
Sites, in units of the cell vectors:
Ru 0.250 0.250 0.250
Pt 0.750 0.750 0.750
Ho 0.000 0.000 0.000
Sn 0.500 0.500 0.500

Entry 3:
## La4CuRu (PBE)

Data for a relaxed structure of La4CuRu.

Results
Symmetry = C2/c
Size of the total moment = 0.00 Bohr magnetons per cell
Energy of formation from the pure elements = -0.17 eV per atom

Lattice parameters (Å, degrees): 6.400 8.278 8.278 113.89 106.26 106.26
Sites, in units of the cell vectors:
La 0.200 0.356 0.219
La 0.088 0.940 0.306
La 0.412 0.694 0.060
Ru 0.250 0.994 0.006
La 0.800 0.644 0.781
La 0.912 0.060 0.694
Cu 0.250 0.375 0.625
La 0.300 0.781 0.644
Cu 0.750 0.625 0.375
La 0.588 0.306 0.940
Ru 0.750 0.006 0.994
La 0.700 0.219 0.356

Entry 4:
## Er2Zn3In (PBE)

Data for a relaxed structure of Er2Zn3In.

Results
Symmetry = Fmmm
Size of the total moment = 0.00 Bohr magnetons per cell
Energy of formation from the pure elements = -0.39 eV per atom

Lattice parameters (Å, degrees): 5.766 5.766 8.653 104.45 104.45 104.54
Sites, in units of the cell vectors:
Er 0.250 0.750 0.500
In 0.665 0.665 0.331
Zn 0.162 0.162 0.325
In 0.335 0.335 0.669
Er 0.757 0.757 0.000
Zn 0.324 0.837 0.161
Zn 0.837 0.324 0.161
Er 0.750 0.250 0.500
Zn 0.838 0.838 0.675
Zn 0.676 0.163 0.839
Zn 0.163 0.676 0.839
Er 0.243 0.243 0.000

Entry 5:
## HgTe2Rh (PBE)

Data for a relaxed structure of HgTe2Rh.

Results
Symmetry = R3m
ΔE_f (raw) = -261 meV/atom
Size of the total moment = 0.00 Bohr magnetons per cell

Lattice parameters (Å, degrees): 3.925 3.925 8.427 76.53 76.53 60.00
Sites, in units of the cell vectors:
Te 0.276 0.276 0.173
Rh 0.668 0.668 0.997
Te 0.058 0.058 0.825
Hg 0.499 0.499 0.504

Entry 6:
## Dy2MgGa3Ni4 (PBE)

Data for a relaxed structure of Dy2MgGa3Ni4.

Results
Symmetry = P-4m2
Size of the total moment = 0.00 Bohr magnetons per cell
Energy of formation from the pure elements = -0.49 eV per atom

Lattice parameters (Å, degrees): 4.053 4.053 10.258 90.00 90.00 90.00
Sites, in units of the cell vectors:
Ni 0.000 0.500 0.353
Ni 0.000 0.000 0.000
Ga 0.000 0.000 0.500
Mg 0.500 0.500 0.500
Dy 0.000 0.500 0.764
Ga 0.500 0.000 0.876
Dy 0.500 0.000 0.236
Ni 0.500 0.000 0.647
Ni 0.500 0.500 0.000
Ga 0.000 0.500 0.124

Entry 7:
## ErAgGe (PBE)

Data for a relaxed structure of ErAgGe.

Results
Symmetry = I4mm
Size of the total moment = 0.00 Bohr magnetons per cell
Energy of formation from the pure elements = -0.22 eV per atom

Lattice parameters (Å, degrees): 3.849 3.849 5.188 111.77 111.77 90.00
Sites, in units of the cell vectors:
Er 0.616 0.616 0.232
Ag 0.951 0.951 0.901
Ge 0.283 0.283 0.567

Entry 8:
## Ho4CdAu2 (PBE)

Data for a relaxed structure of Ho4CdAu2.

Results
Symmetry = R-3m
Size of the total moment = 0.00 Bohr magnetons per cell
Energy of formation from the pure elements = -0.41 eV per atom

Lattice parameters (Å, degrees): 4.876 4.876 9.899 75.74 75.74 60.00
Sites, in units of the cell vectors:
Ho 0.615 0.615 0.156
Cd 0.000 0.000 0.000
Ho 0.385 0.385 0.844
Au 0.900 0.900 0.301
Ho 0.797 0.797 0.609
Ho 0.203 0.203 0.391
Au 0.100 0.100 0.699

Among the records above, which one has the highest size of the total moment? Y9Ho4Pu

Number 4 is which compound? Er2Zn3In